[1]
## NpZnRh2 (PBE)

Data for a relaxed NpZnRh2 crystal.

It has space group P4/mmm (No. 123), with a = 4.313 Å, b = 4.313 Å, c = 3.608 Å, α = 90.00°, β = 90.00° and γ = 90.00°. The distinct sites, in fractional coordinates, are Np at (0.000, 0.000, 0.000), Zn at (0.500, 0.500, 0.000) and Rh at (0.000, 0.500, 0.500).

Its crystal system is tetragonal. Its formation energy is -0.40 eV/atom. For the volume, the calculation gives 67.1 Å³ per cell. The value obtained for the density of states at the Fermi level is 7.0 states/eV per cell. As for the calculated total energy: -7.63 eV/atom. As for the total moment: 0.808 μB/atom.

***

[2]
## Pm2PuBiO8 (PBE)

Data for a relaxed Pm2PuBiO8 crystal.

It has space group Cmmm (No. 65), with a = 7.317 Å, b = 7.470 Å, c = 7.168 Å, α = 90.00°, β = 90.00° and γ = 90.00°. The distinct sites, in fractional coordinates, are Pm at (0.000, 0.000, 0.245), Pu at (0.000, 0.500, 0.500), Bi at (0.000, 0.500, 0.000), O at (0.000, 0.318, 0.285), O at (0.191, 0.000, 0.000) and O at (0.227, 0.000, 0.500).

Its crystal system is orthorhombic. For the volume, the calculation gives 391.8 Å³ per cell. As for the calculated total energy: -8.16 eV/atom. As for the total moment: 0.087 μB/atom.

***

[3]
## CoTeIr (PBE)

Data for a relaxed CoTeIr crystal.

It has space group P3m1 (No. 156), with a = 4.0894 Å, b = 4.0894 Å, c = 3.3841 Å, α = 90.00°, β = 90.00° and γ = 120.00°. The distinct sites, in fractional coordinates, are Co at (0.0000, 0.0000, 0.0000), Te at (0.3333, 0.6667, 0.8219) and Ir at (0.6667, 0.3333, 0.4730).

Its crystal system is trigonal. For the energy above the most stable polymorph in this dataset, the calculation gives 194 meV/atom. For the volume, the calculation gives 49.0 Å³ per cell. The value obtained for the density of states at the Fermi level is 2.6 states/eV per cell. As for the calculated total energy: -5.90 eV/atom. As for the total moment: 0.000 μB/atom.

***

[4]
## Dy6Ho2TmTh (PBE)

Data for a relaxed Dy6Ho2TmTh crystal.

It has space group C2/c (No. 15), with a = 9.281 Å, b = 15.024 Å, c = 9.153 Å, α = 90.00°, β = 93.67° and γ = 90.00°. The distinct sites, in fractional coordinates, are Dy at (0.052, 0.176, 0.440), Dy at (0.099, 0.382, 0.607), Dy at (0.214, 0.220, 0.809), Ho at (0.243, 0.446, 0.943), Tm at (0.000, 0.416, 0.250) and Th at (0.000, 0.034, 0.750).

Its crystal system is monoclinic. Its formation energy is 0.15 eV/atom. For the volume, the calculation gives 1273.7 Å³ per cell. The value obtained for the density of states at the Fermi level is 56.8 states/eV per cell. As for the calculated total energy: -4.72 eV/atom. As for the total moment: 0.000 μB/atom.

***

[5]
## KZrGeBiO6 (PBE)

Data for a relaxed KZrGeBiO6 crystal.

It has space group F-43m (No. 216), with a = 7.990 Å, b = 7.990 Å, c = 7.990 Å, α = 90.00°, β = 90.00° and γ = 90.00°. The distinct sites, in fractional coordinates, are K at (0.000, 0.000, 0.000), Zr at (0.250, 0.250, 0.250), Ge at (0.250, 0.250, 0.750), Bi at (0.000, 0.000, 0.500) and O at (0.012, 0.250, 0.750).

Its crystal system is cubic. For the volume, the calculation gives 510.0 Å³ per cell. The value obtained for the density of states at the Fermi level is 0.0 states/eV per cell. As for the calculated total energy: -6.73 eV/atom. As for the total moment: 0.000 μB/atom.

***

[6]
## SrMgSb2I (PBE)

Data for a relaxed SrMgSb2I crystal.

It has space group P4/mmm (No. 123), with a = 5.390 Å, b = 5.390 Å, c = 6.060 Å, α = 90.00°, β = 90.00° and γ = 90.00°. The distinct sites, in fractional coordinates, are Sr at (0.000, 0.000, 0.000), Mg at (0.500, 0.500, 0.500), Sb at (0.000, 0.500, 0.500) and I at (0.500, 0.500, 0.000).

Its crystal system is tetragonal. For the energy above the most stable polymorph in this dataset, the calculation gives 0 meV/atom. For the volume, the calculation gives 176.1 Å³ per cell. The value obtained for the density of states at the Fermi level is 4.8 states/eV per cell. As for the calculated total energy: -2.93 eV/atom. As for the total moment: 0.000 μB/atom.